Below is a geometry-optimized Ho2Sc3Cd2 structure, with properties calculated at the GGA-PBE level.

CIF file:
```
data_Ho2Sc3Cd2
_cell_length_a 4.886
_cell_length_b 21.995
_cell_length_c 3.248
_cell_angle_alpha 90.00
_cell_angle_beta 90.00
_cell_angle_gamma 90.00
_space_group_name_H-M_alt 'C m m m'
_space_group_IT_number 65
_space_group_name_Hall '-C 2 2'
loop_
_atom_site_label
_atom_site_type_symbol
_atom_site_fract_x
_atom_site_fract_y
_atom_site_fract_z
Ho1 Ho 0.000 0.210 0.000
Sc1 Sc 0.000 0.358 0.500
Sc2 Sc 0.000 0.500 0.500
Cd1 Cd 0.000 0.068 0.000
```

Summary:
DOS at the Fermi energy ... 1.164 states/eV/atom
Calculated density ... 6.56 g/cm³
ΔE_f ... -0.41 kcal/mol of atoms